[1]
VASP calculation (GGA-PBEsol) on a geometry-optimized BeAlPt structure.

abc: 3.0831 3.0842 4.5080
angles: 110.00 110.00 90.00
Closest atoms and distances in Å follow each position.
Atoms (fractional coordinates):
Be 0.3265 0.3265 0.6529  5 Pt 2.48-2.76, 5 Al 2.57-2.59
Pt 0.6758 0.6758 0.3517  5 Be 2.48-2.76, 5 Al 2.54-2.59
Al 0.9977 0.9977 0.9954  5 Pt 2.54-2.59, 5 Be 2.57-2.59

Output
The calculated total energy comes out at -17.0 eV/cell. As for the density of states at the Fermi level: 0.316 states/eV per atom. As for the formation energy: -192 kJ/mol of formula units. Its spin magnetization is 0.000 μB per cell. As for the calculated density: 10.227 g cm⁻³.

[2]
VASP calculation (GGA-PBEsol) on a geometry-optimized ReHg3S structure.

abc: 4.9918 4.9918 4.9918
angles: 90.00 90.00 90.00
Closest atoms and distances in Å follow each position.
Atoms (fractional coordinates):
Hg 0.0000 0.0000 0.5000  2 S 2.50
Hg 0.0000 0.5000 0.0000  2 S 2.50
Hg 0.5000 0.0000 0.0000  2 S 2.50
Re 0.5000 0.5000 0.5000  12 Hg 3.53
S 0.0000 0.0000 0.0000  6 Hg 2.50

Output
The calculated total energy comes out at -11.5 eV/cell. The energy relative to the elements, uncorrected comes out at 765 kJ/mol of formula units. As for the density of states at the Fermi level: 0.728 states/eV per atom. Its spin magnetization is 4.188 μB per cell. As for the calculated density: 10.948 g cm⁻³.

[3]
VASP calculation (GGA-PBEsol) on a geometry-optimized NiOs3C structure.

abc: 4.3472 4.3472 4.3472
angles: 90.00 90.00 90.00
Closest atoms and distances in Å follow each position.
Atoms (fractional coordinates):
C 0.5000 0.5000 0.5000  12 Os 3.07
Os 0.5000 0.0000 0.0000  2 Ni 2.17
Os 0.0000 0.0000 0.5000  2 Ni 2.17
Os 0.0000 0.5000 0.0000  2 Ni 2.17
Ni 0.0000 0.0000 0.0000  6 Os 2.17

Output
The calculated total energy comes out at -35.4 eV/cell. As for the density of states at the Fermi level: 1.437 states/eV per atom. As for the formation energy: 1649 kJ/mol of formula units. Its spin magnetization is 2.513 μB per cell. As for the calculated density: 12.964 g cm⁻³.

[4]
VASP calculation (GGA-PBEsol) on a geometry-optimized Sr2ReW structure.

abc: 3.9397 3.9458 5.3623
angles: 90.00 90.00 90.00
Closest atoms and distances in Å follow each position.
Atoms (fractional coordinates):
W 0.5000 0.0000 0.5000  4 Re 2.79
Sr 0.0000 0.0000 0.0000  4 Sr 2.79
Sr 0.5000 0.5000 0.0000  4 Sr 2.79
Re 0.0000 0.5000 0.5000  4 W 2.79

Output
The calculated total energy comes out at -25.7 eV/cell. As for the density of states at the Fermi level: 0.545 states/eV per atom. As for the formation energy: 492 kJ/mol of formula units. Its spin magnetization is 0.000 μB per cell. As for the calculated density: 10.862 g cm⁻³.

[5]
VASP calculation (GGA-PBEsol) on a geometry-optimized Zr5Zn structure.

abc: 3.9726 5.4035 6.5374
angles: 108.42 90.01 111.55
Closest atoms and distances in Å follow each position.
Atoms (fractional coordinates):
Zr 0.6584 0.3164 0.8469  3 Zn 2.92-3.24, 8 Zr 2.97-3.11
Zr 0.6658 0.3319 0.3238  2 Zn 2.97, 9 Zr 3.06-3.16
Zr 0.3342 0.6681 0.6762  2 Zn 2.97, 9 Zr 3.06-3.16
Zr 0.3416 0.6836 0.1531  3 Zn 2.92-3.24, 8 Zr 2.97-3.11
Zr 0.0000 0.0000 0.5000  10 Zr 3.03-3.16, 2 Zn 3.27
Zn 0.0000 0.0000 0.0000  12 Zr 2.92-3.27

Output
Its energy above the most stable polymorph in this dataset is 0 meV/atom. The calculated total energy comes out at -47.4 eV/cell. As for the density of states at the Fermi level: 1.053 states/eV per atom. As for the formation energy: -36 kJ/mol of formula units. Its spin magnetization is 0.000 μB per cell. As for the calculated density: 7.054 g cm⁻³.

[6]
VASP calculation (GGA-PBEsol) on a geometry-optimized BaSr2Ca structure.

abc: 6.5509 6.5509 6.5509
angles: 60.00 60.00 60.00
Closest atoms and distances in Å follow each position.
Atoms (fractional coordinates):
Sr 0.7500 0.7500 0.7500  4 Ba 4.01, 4 Ca 4.01
Sr 0.2500 0.2500 0.2500  4 Ba 4.01, 4 Ca 4.01
Ba 0.0000 0.0000 0.0000  8 Sr 4.01
Ca 0.5000 0.5000 0.5000  8 Sr 4.01

Output
Its energy above the most stable polymorph in this dataset is 0 meV/atom. The calculated total energy comes out at -7.9 eV/cell. As for the density of states at the Fermi level: 1.414 states/eV per atom. As for the formation energy: 6 kJ/mol of formula units. Its spin magnetization is 0.000 μB per cell. As for the calculated density: 2.946 g cm⁻³.

[7]
VASP calculation (GGA-PBEsol) on a geometry-optimized MnTlPt3 structure.

abc: 4.5664 4.5664 4.5664
angles: 90.00 90.00 90.00
Closest atoms and distances in Å follow each position.
Atoms (fractional coordinates):
Mn 0.0000 0.0000 0.0000  6 Pt 2.28
Pt 0.5000 0.0000 0.0000  2 Mn 2.28
Pt 0.0000 0.0000 0.5000  2 Mn 2.28
Pt 0.0000 0.5000 0.0000  2 Mn 2.28
Tl 0.5000 0.5000 0.5000  12 Pt 3.23

Output
The calculated total energy comes out at -28.8 eV/cell. As for the density of states at the Fermi level: 1.063 states/eV per atom. As for the formation energy: 432 kJ/mol of formula units. Its spin magnetization is 0.001 μB per cell. As for the calculated density: 14.729 g cm⁻³.

[8]
VASP calculation (GGA-PBEsol) on a geometry-optimized Fe3N structure.

abc: 4.2573 4.5631 4.5631
angles: 120.00 90.00 90.00
Closest atoms and distances in Å follow each position.
Atoms (fractional coordinates):
N 0.7500 0.3333 0.6667  6 Fe 1.87
N 0.2500 0.6667 0.3333  6 Fe 1.87
Fe 0.0000 0.6740 0.6740  2 N 1.87
Fe 0.0000 0.0000 0.3260  2 N 1.87
Fe 0.5000 0.0000 0.6740  2 N 1.87
Fe 0.5000 0.6740 0.0000  2 N 1.87
Fe 0.0000 0.3260 0.0000  2 N 1.87
Fe 0.5000 0.3260 0.3260  2 N 1.87

Output
The calculated total energy comes out at -72.3 eV/cell. The energy relative to the elements, uncorrected comes out at -69 kJ/mol of formula units. As for the density of states at the Fermi level: 0.850 states/eV per atom. Its spin magnetization is 11.476 μB per cell. As for the calculated density: 7.853 g cm⁻³.

[9]
VASP calculation (GGA-PBEsol) on a geometry-optimized CaZrSe2 structure.

abc: 4.8655 4.8658 4.8658
angles: 60.00 60.00 60.00
Closest atoms and distances in Å follow each position.
Atoms (fractional coordinates):
Se 0.2499 0.7501 0.7501  4 Zr 2.98, 4 Ca 2.98
Se 0.7501 0.2499 0.2499  4 Zr 2.98, 4 Ca 2.98
Ca 0.0000 0.5000 0.5000  8 Se 2.98
Zr 0.5000 0.0000 0.0000  8 Se 2.98

Output
Its energy above the most stable polymorph in this dataset is 0 meV/atom. The calculated total energy comes out at -23.9 eV/cell. The energy relative to the elements, uncorrected comes out at -485 kJ/mol of formula units. As for the density of states at the Fermi level: 0.400 states/eV per atom. Its spin magnetization is 1.716 μB per cell. As for the calculated density: 5.896 g cm⁻³.

[10]
VASP calculation (GGA-PBEsol) on a geometry-optimized SrYTe2 structure.

abc: 4.4176 4.4176 7.8560
angles: 73.67 73.67 60.00
Closest atoms and distances in Å follow each position.
Atoms (fractional coordinates):
Y 0.0000 0.0000 0.0000  6 Te 3.08
Te 0.7439 0.7439 0.7684  3 Y 3.08, 3 Sr 3.24
Te 0.2561 0.2561 0.2316  3 Y 3.08, 3 Sr 3.24
Sr 0.5000 0.5000 0.5000  6 Te 3.24

Output
Its energy above the most stable polymorph in this dataset is 0 meV/atom. The calculated total energy comes out at -21.9 eV/cell. The energy relative to the elements, uncorrected comes out at -594 kJ/mol of formula units. As for the density of states at the Fermi level: 0.402 states/eV per atom. Its spin magnetization is 0.000 μB per cell. As for the calculated density: 5.709 g cm⁻³.

[11]
VASP calculation (GGA-PBEsol) on a geometry-optimized K2ReHg structure.

abc: 2.7430 6.3279 6.3279
angles: 90.00 90.00 90.00
Closest atoms and distances in Å follow each position.
Atoms (fractional coordinates):
K 0.0000 0.5000 0.0000  2 K 2.74
K 0.0000 0.0000 0.5000  2 K 2.74
Hg 0.5000 0.0000 0.0000  2 Hg 2.74
Re 0.5000 0.5000 0.5000  2 Re 2.74

Output
The calculated total energy comes out at -11.3 eV/cell. As for the density of states at the Fermi level: 0.728 states/eV per atom. As for the formation energy: 466 kJ/mol of formula units. Its spin magnetization is 1.797 μB per cell. As for the calculated density: 7.030 g cm⁻³.

[12]
VASP calculation (GGA-PBEsol) on a geometry-optimized Mn2CoPb structure.

abc: 4.3733 4.3733 4.3733
angles: 60.00 60.00 60.00
Closest atoms and distances in Å follow each position.
Atoms (fractional coordinates):
Mn 0.7500 0.7500 0.7500  4 Co 2.68, 4 Pb 2.68
Mn 0.2500 0.2500 0.2500  4 Pb 2.68, 4 Co 2.68
Pb 0.5000 0.5000 0.5000  8 Mn 2.68
Co 0.0000 0.0000 0.0000  8 Mn 2.68

Output
Its energy above the most stable polymorph in this dataset is 77 meV/atom. The calculated total energy comes out at -29.2 eV/cell. As for the density of states at the Fermi level: 0.860 states/eV per atom. As for the formation energy: 199 kJ/mol of formula units. Its spin magnetization is 8.247 μB per cell. As for the calculated density: 10.557 g cm⁻³.